Here is a geometry-optimized TbY2Ho12 structure from the Alexandria database. Energies are from PBE.

It has space group C2/m (No. 12), with a = 7.1024 Å, b = 11.0981 Å, c = 24.1952 Å, α = 90.00°, β = 94.27° and γ = 90.00°. Symmetry generates all atoms from Tb at (0.2502, 0.0000, 0.0005), Y at (0.0662, 0.0000, 0.2716), Y at (0.0671, 0.5000, 0.2717), Ho at (0.0171, 0.2499, 0.0742), Ho at (0.1118, 0.2502, 0.4449), Ho at (0.1430, 0.0000, 0.5746), Ho at (0.1434, 0.5000, 0.5743), Ho at (0.1681, 0.2504, 0.6697), Ho at (0.2013, 0.2490, 0.7987), Ho at (0.2172, 0.5000, 0.8623) and Ho at (0.2175, 0.0000, 0.8634).

The value obtained for the calculated formation energy is 0.1138 eV per atom. The mass density comes out at 8.09 g cm⁻³. The value obtained for the total magnetic moment is 0.0 μB per formula unit. The calculation puts the volume at 31.70 A^3/atom. The final energy is -283.140 eV per cell.